Record 1
{
  "formula": "Na4Np3CuTe8",
  "functional": "PBE",
  "state": "relaxed",
  "lattice_angstrom": [[-6.996, -4.534, -2.712], [3.959, -7.685, 2.636], [-1.004, 6.550, 5.811]],
  "species": ["Na", "Na", "Na", "Na", "Np", "Np", "Np", "Cu", "Te", "Te", "Te", "Te", "Te", "Te", "Te", "Te"],
  "fractional_positions": [[0.500, 0.000, 0.000], [0.500, 0.000, 0.500], [0.000, 0.000, 0.000], [0.000, 0.000, 0.500], [0.500, 0.500, 0.000], [0.500, 0.500, 0.500], [0.000, 0.500, 0.500], [0.000, 0.500, 0.000], [0.232, 0.720, 0.987], [0.239, 0.726, 0.479], [0.255, 0.263, 0.510], [0.754, 0.720, 0.987], [0.246, 0.280, 0.013], [0.745, 0.737, 0.490], [0.761, 0.274, 0.521], [0.768, 0.280, 0.013]],
  "dos_at_fermi_per_ev_atom": 1.889,
  "spacegroup": "C2/m"
}

Record 2
{
  "formula": "Na3Np3CuTe8",
  "functional": "PBE",
  "state": "relaxed",
  "lattice_angstrom": [[-6.068, -3.845, -5.156], [8.437, -1.423, -1.286], [-3.813, -3.727, 7.267]],
  "species": ["Na", "Na", "Na", "Np", "Np", "Np", "Cu", "Te", "Te", "Te", "Te", "Te", "Te", "Te", "Te"],
  "fractional_positions": [[0.000, 0.000, 0.000], [0.000, 0.500, 0.000], [0.500, 0.500, 0.000], [0.500, 0.000, 0.500], [0.500, 0.500, 0.500], [0.000, 0.500, 0.500], [0.000, 0.000, 0.500], [0.254, 0.508, 0.263], [0.746, 0.492, 0.737], [0.787, 0.574, 0.298], [0.213, 0.426, 0.702], [0.754, 0.017, 0.272], [0.246, 0.983, 0.728], [0.263, 0.017, 0.272], [0.737, 0.983, 0.728]],
  "dos_at_fermi_per_ev_atom": 1.877,
  "spacegroup": "C2/m"
}

Record 3
{
  "formula": "Na2NpCuTe4",
  "functional": "PBE",
  "state": "relaxed",
  "lattice_angstrom": [[7.345, 0.000, 0.000], [3.673, 5.411, 0.000], [3.673, 0.000, 5.411]],
  "species": ["Na", "Na", "Np", "Cu", "Te", "Te", "Te", "Te"],
  "fractional_positions": [[0.000, 0.500, 0.500], [0.500, 0.500, 0.500], [0.000, 0.000, 0.000], [0.500, 0.000, 0.000], [0.097, 0.396, 0.000], [0.903, 0.000, 0.604], [0.507, 0.000, 0.396], [0.493, 0.604, 0.000]],
  "dos_at_fermi_per_ev_atom": 1.471,
  "spacegroup": "I-42m"
}

Record 4
{
  "formula": "NaNpCu2Te4",
  "functional": "PBE",
  "state": "relaxed",
  "lattice_angstrom": [[6.493, 0.000, 0.000], [3.247, 5.736, -0.161], [3.247, 0.309, 5.730]],
  "species": ["Na", "Np", "Cu", "Cu", "Te", "Te", "Te", "Te"],
  "fractional_positions": [[0.000, 0.000, 0.000], [0.500, 0.500, 0.500], [0.153, 0.347, 0.347], [0.847, 0.653, 0.653], [0.465, 0.003, 0.520], [0.988, 0.997, 0.480], [0.012, 0.520, 0.003], [0.535, 0.480, 0.997]],
  "dos_at_fermi_per_ev_atom": 1.583,
  "spacegroup": "I222"
}

Record 5
{
  "formula": "Na5CuO4",
  "functional": "PBE",
  "state": "relaxed",
  "lattice_angstrom": [[-1.037, -3.178, -1.976], [7.329, -0.257, -3.436], [2.680, -4.644, 6.064]],
  "species": ["Na", "Na", "Na", "Na", "Na", "Na", "Na", "Na", "Na", "Na", "Cu", "Cu", "O", "O", "O", "O", "O", "O", "O", "O"],
  "fractional_positions": [[0.259, 0.816, 0.816], [0.259, 0.184, 0.816], [0.997, 0.500, 0.000], [0.259, 0.816, 0.184], [0.259, 0.184, 0.184], [0.741, 0.684, 0.316], [0.741, 0.316, 0.316], [0.003, 0.000, 0.500], [0.741, 0.316, 0.684], [0.741, 0.684, 0.684], [0.765, 0.000, 0.000], [0.235, 0.500, 0.500], [0.764, 0.000, 0.767], [0.763, 0.768, 0.000], [0.763, 0.232, 0.000], [0.764, 0.000, 0.233], [0.236, 0.500, 0.267], [0.237, 0.732, 0.500], [0.237, 0.268, 0.500], [0.236, 0.500, 0.733]],
  "spacegroup": "Pmmn"
}

Record 6
{
  "formula": "Na12Cu7O14",
  "functional": "PBE",
  "state": "relaxed",
  "lattice_angstrom": [[10.821, 0.034, 0.023], [-7.570, 7.732, 0.023], [0.806, 1.925, 5.306]],
  "species": ["Na", "Na", "Na", "Na", "Na", "Na", "Na", "Na", "Na", "Na", "Na", "Na", "Cu", "Cu", "Cu", "Cu", "Cu", "Cu", "Cu", "O", "O", "O", "O", "O", "O", "O", "O", "O", "O", "O", "O", "O", "O"],
  "fractional_positions": [[0.164, 0.626, 0.380], [0.626, 0.164, 0.380], [0.764, 0.458, 0.619], [0.458, 0.764, 0.619], [0.619, 0.619, 0.624], [0.306, 0.458, 0.382], [0.458, 0.306, 0.382], [0.249, 0.894, 0.646], [0.894, 0.249, 0.646], [0.025, 0.856, 0.336], [0.856, 0.025, 0.336], [0.056, 0.056, 0.672], [0.462, 0.034, 0.996], [0.034, 0.462, 0.996], [0.332, 0.189, 0.970], [0.189, 0.332, 0.970], [0.883, 0.597, 0.023], [0.597, 0.883, 0.023], [0.738, 0.738, 0.035], [0.579, 0.004, 0.769], [0.004, 0.579, 0.769], [0.469, 0.907, 0.252], [0.907, 0.469, 0.252], [0.459, 0.164, 0.736], [0.164, 0.459, 0.736], [0.318, 0.318, 0.723], [0.877, 0.734, 0.778], [0.734, 0.877, 0.778], [0.347, 0.063, 0.227], [0.063, 0.347, 0.227], [0.183, 0.183, 0.225], [0.756, 0.609, 0.276], [0.609, 0.756, 0.276]],
  "dos_at_fermi_per_ev_atom": 0.216,
  "spacegroup": "Cm"
}

Record 7
{
  "formula": "Na3Cu5O4",
  "functional": "PBE",
  "state": "relaxed",
  "lattice_angstrom": [[6.858, 0.000, 0.000], [0.000, 8.702, 0.025], [0.000, -3.913, 12.571]],
  "species": ["Na", "Na", "Na", "Na", "Na", "Na", "Na", "Na", "Na", "Na", "Na", "Na", "Cu", "Cu", "Cu", "Cu", "Cu", "Cu", "Cu", "Cu", "Cu", "Cu", "Cu", "Cu", "Cu", "Cu", "Cu", "Cu", "Cu", "Cu", "Cu", "Cu", "O", "O", "O", "O", "O", "O", "O", "O", "O", "O", "O", "O", "O", "O", "O", "O"],
  "fractional_positions": [[0.853, 0.909, 0.915], [0.584, 0.646, 0.598], [0.236, 0.737, 0.928], [0.647, 0.909, 0.415], [0.916, 0.646, 0.098], [0.264, 0.737, 0.428], [0.736, 0.263, 0.572], [0.084, 0.354, 0.902], [0.353, 0.091, 0.585], [0.764, 0.263, 0.072], [0.416, 0.354, 0.402], [0.147, 0.091, 0.085], [0.928, 0.951, 0.598], [0.176, 0.930, 0.755], [0.572, 0.951, 0.098], [0.032, 0.687, 0.614], [0.324, 0.930, 0.255], [0.918, 0.562, 0.767], [0.468, 0.687, 0.114], [0.156, 0.415, 0.596], [0.656, 0.585, 0.904], [0.418, 0.438, 0.733], [0.582, 0.562, 0.267], [0.344, 0.415, 0.096], [0.844, 0.585, 0.404], [0.532, 0.313, 0.886], [0.082, 0.438, 0.233], [0.676, 0.070, 0.745], [0.968, 0.313, 0.386], [0.428, 0.049, 0.902], [0.824, 0.070, 0.245], [0.072, 0.049, 0.402], [0.674, 0.017, 0.600], [0.178, 0.868, 0.607], [0.826, 0.017, 0.100], [0.322, 0.868, 0.107], [0.900, 0.501, 0.620], [0.921, 0.627, 0.914], [0.421, 0.373, 0.586], [0.400, 0.499, 0.880], [0.600, 0.501, 0.120], [0.579, 0.627, 0.414], [0.079, 0.373, 0.086], [0.100, 0.499, 0.380], [0.678, 0.132, 0.893], [0.174, 0.983, 0.900], [0.822, 0.132, 0.393], [0.326, 0.983, 0.400]],
  "spacegroup": "P2_1/c"
}

Record 8
{
  "formula": "NaCu2O2",
  "functional": "PBE",
  "state": "relaxed",
  "lattice_angstrom": [[6.063, 0.000, 0.000], [0.000, 6.063, 0.000], [0.000, 0.000, 13.328]],
  "species": ["Na", "Na", "Na", "Na", "Na", "Na", "Na", "Na", "Cu", "Cu", "Cu", "Cu", "Cu", "Cu", "Cu", "Cu", "Cu", "Cu", "Cu", "Cu", "Cu", "Cu", "Cu", "Cu", "O", "O", "O", "O", "O", "O", "O", "O", "O", "O", "O", "O", "O", "O", "O", "O"],
  "fractional_positions": [[0.263, 0.000, 0.077], [0.500, 0.763, 0.577], [0.500, 0.237, 0.577], [0.737, 0.000, 0.077], [0.763, 0.500, 0.423], [0.000, 0.737, 0.923], [0.000, 0.263, 0.923], [0.237, 0.500, 0.423], [0.252, 0.500, 0.113], [0.254, 0.500, 0.742], [0.500, 0.252, 0.887], [0.500, 0.254, 0.258], [0.500, 0.746, 0.258], [0.500, 0.748, 0.887], [0.746, 0.500, 0.742], [0.748, 0.500, 0.113], [0.752, 0.000, 0.387], [0.754, 0.000, 0.758], [0.000, 0.754, 0.242], [0.000, 0.246, 0.242], [0.000, 0.752, 0.613], [0.000, 0.248, 0.613], [0.246, 0.000, 0.758], [0.248, 0.000, 0.387], [0.281, 0.000, 0.897], [0.283, 0.500, 0.880], [0.500, 0.283, 0.120], [0.500, 0.781, 0.397], [0.500, 0.219, 0.397], [0.500, 0.717, 0.120], [0.717, 0.500, 0.880], [0.719, 0.000, 0.897], [0.781, 0.500, 0.603], [0.783, 0.000, 0.620], [0.000, 0.719, 0.103], [0.000, 0.281, 0.103], [0.000, 0.783, 0.380], [0.000, 0.217, 0.380], [0.217, 0.000, 0.620], [0.219, 0.500, 0.603]],
  "polymorph_energy_mev_per_atom": 8,
  "dos_at_fermi_per_ev_atom": 0.133,
  "spacegroup": "P4_2/nmc"
}

Record 9
{
  "formula": "Na3Cu2O3",
  "functional": "PBE",
  "state": "relaxed",
  "lattice_angstrom": [[3.128, 0.000, 0.000], [-1.564, 5.704, 0.000], [0.000, 0.000, 13.439]],
  "species": ["Na", "Na", "Na", "Na", "Na", "Na", "Cu", "Cu", "Cu", "Cu", "O", "O", "O", "O", "O", "O"],
  "fractional_positions": [[0.965, 0.930, 0.359], [0.035, 0.070, 0.859], [0.965, 0.930, 0.141], [0.035, 0.070, 0.641], [0.736, 0.472, 0.250], [0.264, 0.528, 0.750], [0.806, 0.611, 0.952], [0.194, 0.389, 0.452], [0.806, 0.611, 0.548], [0.194, 0.389, 0.048], [0.628, 0.257, 0.404], [0.372, 0.743, 0.904], [0.628, 0.257, 0.096], [0.372, 0.743, 0.596], [0.384, 0.768, 0.250], [0.616, 0.232, 0.750]],
  "dos_at_fermi_per_ev_atom": 0.154,
  "spacegroup": "Cmcm"
}

Record 10
{
  "formula": "NaCu4O3",
  "functional": "PBE",
  "state": "relaxed",
  "lattice_angstrom": [[3.737, 0.000, 0.000], [0.000, 3.737, 0.000], [0.000, 0.000, 7.417]],
  "species": ["Na", "Cu", "Cu", "Cu", "Cu", "O", "O", "O"],
  "fractional_positions": [[0.000, 0.000, 0.500], [0.000, 0.500, 0.183], [0.000, 0.500, 0.817], [0.500, 0.000, 0.817], [0.500, 0.000, 0.183], [0.000, 0.000, 0.000], [0.500, 0.500, 0.259], [0.500, 0.500, 0.741]],
  "dos_at_fermi_per_ev_atom": 0.831,
  "spacegroup": "P4/mmm"
}

Record 11
{
  "formula": "NaCu2O2",
  "functional": "PBE",
  "state": "relaxed",
  "lattice_angstrom": [[3.941, 0.000, 0.000], [0.000, 3.941, 0.000], [1.971, 1.971, 4.129]],
  "species": ["Na", "O", "O", "Cu", "Cu"],
  "fractional_positions": [[0.000, 0.000, 0.000], [0.750, 0.250, 0.500], [0.250, 0.750, 0.500], [0.311, 0.311, 0.379], [0.689, 0.689, 0.621]],
  "polymorph_energy_mev_per_atom": 282,
  "dos_at_fermi_per_ev_atom": 0.388,
  "spacegroup": "I4/mmm"
}

Record 12
{
  "formula": "Na4CuO2",
  "functional": "PBE",
  "state": "relaxed",
  "lattice_angstrom": [[-1.761, 3.558, 1.828], [-3.106, -0.418, 3.046], [3.227, 0.915, 6.551]],
  "species": ["Na", "Na", "Na", "Na", "Cu", "O", "O"],
  "fractional_positions": [[0.397, 0.397, 0.808], [0.205, 0.205, 0.384], [0.795, 0.795, 0.616], [0.603, 0.603, 0.192], [0.000, 0.000, 0.000], [0.091, 0.091, 0.727], [0.909, 0.909, 0.273]],
  "dos_at_fermi_per_ev_atom": 0.270,
  "spacegroup": "R-3m"
}

Record 13
{
  "formula": "Na3CuO",
  "functional": "PBE",
  "state": "relaxed",
  "lattice_angstrom": [[4.603, 0.000, 0.000], [0.000, 4.603, 0.000], [0.000, 0.000, 4.603]],
  "species": ["Na", "Na", "Na", "O", "Cu"],
  "fractional_positions": [[0.000, 0.500, 0.000], [0.000, 0.000, 0.500], [0.500, 0.000, 0.000], [0.000, 0.000, 0.000], [0.500, 0.500, 0.500]],
  "polymorph_energy_mev_per_atom": 0,
  "dos_at_fermi_per_ev_atom": 0.000,
  "spacegroup": "Pm-3m"
}

Record 14
{
  "formula": "NaCu3O",
  "functional": "PBE",
  "state": "relaxed",
  "lattice_angstrom": [[-3.321, 2.277, 0.984], [-1.176, 0.003, -3.975], [-2.184, -3.464, 0.644]],
  "species": ["Na", "O", "Cu", "Cu", "Cu"],
  "fractional_positions": [[0.500, 0.500, 0.500], [0.000, 0.000, 0.000], [0.000, 0.500, 0.000], [0.000, 0.000, 0.500], [0.500, 0.000, 0.000]],
  "polymorph_energy_mev_per_atom": 0,
  "dos_at_fermi_per_ev_atom": 0.329,
  "spacegroup": "Pm-3m"
}

Record 15
{
  "formula": "NaCu2O2",
  "functional": "PBE",
  "state": "relaxed",
  "lattice_angstrom": [[-2.246, 1.916, -0.391], [-4.054, -4.483, 1.322], [0.568, 3.322, 13.012]],
  "species": ["Na", "Na", "Na", "Na", "Cu", "Cu", "Cu", "Cu", "Cu", "Cu", "Cu", "Cu", "O", "O", "O", "O", "O", "O", "O", "O"],
  "fractional_positions": [[0.750, 0.839, 0.925], [0.250, 0.161, 0.075], [0.750, 0.339, 0.575], [0.250, 0.661, 0.425], [0.750, 0.354, 0.884], [0.250, 0.646, 0.116], [0.750, 0.854, 0.616], [0.250, 0.146, 0.384], [0.750, 0.901, 0.241], [0.250, 0.099, 0.759], [0.750, 0.401, 0.259], [0.250, 0.599, 0.741], [0.750, 0.864, 0.103], [0.250, 0.136, 0.897], [0.750, 0.364, 0.397], [0.250, 0.636, 0.603], [0.750, 0.433, 0.122], [0.250, 0.567, 0.878], [0.750, 0.933, 0.378], [0.250, 0.067, 0.622]],
  "polymorph_energy_mev_per_atom": 0,
  "dos_at_fermi_per_ev_atom": 0.130,
  "spacegroup": "Pnma"
}

Record 16
{
  "formula": "Na4CuO3",
  "functional": "PBE",
  "state": "relaxed",
  "lattice_angstrom": [[-4.719, -3.499, 2.351], [0.543, -4.589, 4.323], [-2.240, 2.586, 7.409]],
  "species": ["Na", "Na", "Na", "Na", "Na", "Na", "Na", "Na", "Cu", "Cu", "O", "O", "O", "O", "O", "O"],
  "fractional_positions": [[0.804, 0.233, 0.103], [0.262, 0.611, 0.288], [0.363, 0.064, 0.192], [0.768, 0.465, 0.380], [0.233, 0.804, 0.603], [0.611, 0.262, 0.788], [0.064, 0.363, 0.692], [0.465, 0.768, 0.880], [0.989, 0.703, 0.003], [0.703, 0.989, 0.503], [0.346, 0.449, 0.044], [0.689, 0.677, 0.086], [0.004, 0.025, 0.362], [0.449, 0.346, 0.544], [0.677, 0.689, 0.586], [0.025, 0.004, 0.862]],
  "dos_at_fermi_per_ev_atom": 0.024,
  "spacegroup": "Cc"
}

Record 17
{
  "formula": "NaCu3O4",
  "functional": "PBE",
  "state": "relaxed",
  "lattice_angstrom": [[5.434, -0.086, -0.064], [2.651, 5.285, 0.248], [-0.043, 0.176, 3.598]],
  "species": ["Na", "Cu", "Cu", "Cu", "O", "O", "O", "O"],
  "fractional_positions": [[0.002, 0.997, 0.496], [0.244, 0.517, 0.029], [0.759, 0.478, 0.963], [0.501, 0.998, 0.996], [0.397, 0.740, 0.896], [0.871, 0.741, 0.937], [0.132, 0.254, 0.055], [0.606, 0.255, 0.097]],
  "polymorph_energy_mev_per_atom": 20,
  "dos_at_fermi_per_ev_atom": 0.285,
  "spacegroup": "P-1"
}

Number 1: formation energy from raw total energies -10.7 eV/f.u.. Number 2: formation energy from raw total energies -9.0 eV/f.u.. Number 3: formation energy from raw total energies -3.8 eV/f.u.. Number 4: formation energy from raw total energies -1.9 eV/f.u.. Number 5: formation energy from raw total energies -11.1 eV/f.u.. Number 6: formation energy from raw total energies -35.2 eV/f.u.. Number 7: formation energy from raw total energies -9.9 eV/f.u.. Number 8: formation energy from raw total energies -4.2 eV/f.u.. Number 9: formation energy from raw total energies -6.8 eV/f.u.. Number 10: formation energy from raw total energies -2.7 eV/f.u.. Number 11: formation energy from raw total energies -2.8 eV/f.u.. Number 12: formation energy from raw total energies -5.8 eV/f.u.. Number 13: formation energy from raw total energies -2.6 eV/f.u.. Number 14: formation energy from raw total energies 0.4 eV/f.u.. Number 15: formation energy from raw total energies -4.2 eV/f.u.. Number 16: formation energy from raw total energies -8.9 eV/f.u.. Number 17: formation energy from raw total energies -6.0 eV/f.u..